1.
First-principles (PBE) data for LiB2C2 after structural relaxation, as listed in Alexandria.

Cell lengths 5.412, 5.412, 7.337 Å; angles 91.21, 91.21, 120.64 degrees
Positions (direct):
Li (0.000, 0.000, 0.000)
Li (0.000, 0.000, 0.500)
Li (0.000, 0.500, 0.000)
Li (0.500, 0.000, 0.500)
B (0.165, 0.835, 0.250)
B (0.168, 0.340, 0.268)
B (0.336, 0.664, 0.750)
B (0.340, 0.168, 0.768)
B (0.660, 0.832, 0.232)
B (0.664, 0.336, 0.250)
B (0.832, 0.660, 0.732)
B (0.835, 0.165, 0.750)
C (0.170, 0.830, 0.750)
C (0.172, 0.329, 0.770)
C (0.329, 0.172, 0.270)
C (0.329, 0.671, 0.250)
C (0.671, 0.329, 0.750)
C (0.671, 0.828, 0.730)
C (0.828, 0.671, 0.230)
C (0.830, 0.170, 0.250)

Space-group type ... C2/c, No. 15

2.
First-principles (PBE) data for LiB2C2 after structural relaxation, as listed in Alexandria.

Cell lengths 9.278, 2.722, 7.573 Å; angles 90.00, 90.00, 90.00 degrees
Positions (direct):
Li (0.150, 0.250, 0.011)
Li (0.350, 0.750, 0.511)
Li (0.650, 0.250, 0.489)
Li (0.850, 0.750, 0.989)
B (0.048, 0.750, 0.777)
B (0.200, 0.750, 0.263)
B (0.300, 0.250, 0.763)
B (0.452, 0.250, 0.277)
B (0.548, 0.750, 0.723)
B (0.700, 0.750, 0.237)
B (0.800, 0.250, 0.737)
B (0.952, 0.250, 0.223)
C (0.033, 0.750, 0.223)
C (0.219, 0.750, 0.777)
C (0.281, 0.250, 0.277)
C (0.467, 0.250, 0.723)
C (0.533, 0.750, 0.277)
C (0.719, 0.750, 0.723)
C (0.781, 0.250, 0.223)
C (0.967, 0.250, 0.777)

Space-group type ... Pnma, No. 62

Stability ranking, top and bottom: 1 is the most stable and 2 is the least stable.

1.
First-principles (PBE) data for BC3 after structural relaxation, as listed in Alexandria.

Cell lengths 4.368, 4.368, 5.239 Å; angles 107.46, 107.46, 51.71 degrees
Positions (direct):
B (0.000, 0.000, 0.000)
B (0.186, 0.496, 0.919)
B (0.504, 0.814, 0.081)
C (0.066, 0.934, 0.500)
C (0.138, 0.524, 0.420)
C (0.381, 0.274, 0.178)
C (0.409, 0.263, 0.656)
C (0.476, 0.862, 0.580)
C (0.726, 0.619, 0.822)
C (0.737, 0.591, 0.344)
C (0.797, 0.192, 0.264)
C (0.808, 0.203, 0.736)

Space-group type ... C2, No. 5

2.
First-principles (PBE) data for BC3 after structural relaxation, as listed in Alexandria.

Cell lengths 6.864, 6.864, 4.537 Å; angles 108.05, 108.05, 21.76 degrees
Positions (direct):
B (0.000, 0.000, 0.000)
B (0.053, 0.053, 0.620)
B (0.715, 0.715, 0.997)
C (0.173, 0.173, 0.770)
C (0.215, 0.215, 0.493)
C (0.338, 0.338, 0.615)
C (0.381, 0.381, 0.323)
C (0.501, 0.501, 0.452)
C (0.554, 0.554, 0.174)
C (0.673, 0.673, 0.294)
C (0.844, 0.844, 0.123)
C (0.878, 0.878, 0.813)

Space-group type ... Cm, No. 8

Stability ranking, top and bottom: 2 is the most stable and 1 is the least stable.